# 1
Entry from the Alexandria database: La8HoTm6 after structural relaxation (PBE).

a = 6.6512 Å, b = 9.4032 Å, c = 9.4032 Å
α = 120.00°, β = 90.00°, γ = 90.00°
Positions (direct):
Tm (0.6507, 0.6617, 0.0995)
Tm (0.6507, 0.9005, 0.5622)
Tm (0.3493, 0.3383, 0.9005)
Tm (0.3493, 0.0995, 0.4378)
Tm (0.6507, 0.4378, 0.3383)
Tm (0.3493, 0.5622, 0.6617)
La (0.1684, 0.9541, 0.7057)
La (0.8316, 0.0459, 0.2943)
La (0.8316, 0.7057, 0.7516)
La (0.1197, 0.6667, 0.3333)
La (0.1684, 0.2943, 0.2484)
La (0.8316, 0.2484, 0.9541)
La (0.1684, 0.7516, 0.0459)
La (0.8803, 0.3333, 0.6667)
Ho (0.5000, 0.0000, 0.0000)

Results
calculated volume	509	Å³/cell
density of states at the Fermi level	23.77	states/eV/cell
formation enthalpy at 0 K	0.17	eV per atom

***

# 2
Entry from the Alexandria database: LaHo3Tm4 after structural relaxation (PBE).

a = 3.4678 Å, b = 8.8063 Å, c = 10.0765 Å
α = 90.39°, β = 58.99°, γ = 101.29°
Positions (direct):
Ho (0.2596, 0.7404, 0.7404)
Ho (0.0000, 0.5000, 0.5000)
Ho (0.7404, 0.2596, 0.2596)
Tm (0.3487, 0.8793, 0.3941)
Tm (0.3779, 0.3941, 0.8793)
Tm (0.6513, 0.1207, 0.6059)
Tm (0.6221, 0.6059, 0.1207)
La (0.5000, 0.0000, 0.0000)

Results
relative energy among the computed polymorphs	91	kJ/mol of formula units
calculated volume	257	Å³/cell
density of states at the Fermi level	14.79	states/eV/cell
formation enthalpy at 0 K	0.13	eV per atom

***

# 3
Entry from the Alexandria database: LaHoTm14 after structural relaxation (PBE).

a = 7.0528 Å, b = 7.0528 Å, c = 11.3302 Å
α = 90.00°, β = 90.00°, γ = 119.97°
Positions (direct):
Tm (0.5412, 0.4588, 0.0000)
Tm (0.8757, 0.1243, 0.7535)
Tm (0.3752, 0.6248, 0.2500)
Tm (0.3752, 0.6248, 0.7500)
Tm (0.8757, 0.6264, 0.2460)
Tm (0.7088, 0.7918, 0.5000)
Tm (0.0423, 0.4586, 0.0000)
Tm (0.5414, 0.9577, 0.0000)
Tm (0.3736, 0.1243, 0.7540)
Tm (0.0415, 0.9585, 0.0000)
Tm (0.8757, 0.6264, 0.7540)
Tm (0.3736, 0.1243, 0.2460)
Tm (0.2082, 0.2912, 0.5000)
Tm (0.8757, 0.1243, 0.2465)
La (0.7080, 0.2920, 0.5000)
Ho (0.2083, 0.7917, 0.5000)

Results
calculated volume	488	Å³/cell
density of states at the Fermi level	22.18	states/eV/cell
formation enthalpy at 0 K	0.01	eV per atom

***

# 4
Entry from the Alexandria database: LaHo3Tm12 after structural relaxation (PBE).

a = 4.9639 Å, b = 4.9639 Å, c = 19.8932 Å
α = 90.00°, β = 90.00°, γ = 90.00°
Positions (direct):
Ho (0.0000, 0.0000, 0.5000)
Ho (0.0000, 0.0000, 0.7484)
Ho (0.0000, 0.0000, 0.2516)
Tm (0.5000, 0.0000, 0.3761)
Tm (0.0000, 0.5000, 0.6239)
Tm (0.5000, 0.0000, 0.6239)
Tm (0.0000, 0.5000, 0.1287)
Tm (0.0000, 0.5000, 0.8713)
Tm (0.5000, 0.5000, 0.2528)
Tm (0.5000, 0.5000, 0.7472)
Tm (0.5000, 0.0000, 0.8713)
Tm (0.0000, 0.5000, 0.3761)
Tm (0.5000, 0.5000, 0.5000)
Tm (0.5000, 0.5000, 0.0000)
Tm (0.5000, 0.0000, 0.1287)
La (0.0000, 0.0000, 0.0000)

Results
calculated volume	490	Å³/cell
density of states at the Fermi level	22.44	states/eV/cell
formation enthalpy at 0 K	0.03	eV per atom

***

# 5
Entry from the Alexandria database: LaHo3Tm4 after structural relaxation (PBE).

a = 6.2301 Å, b = 7.2331 Å, c = 11.2355 Å
α = 90.00°, β = 90.00°, γ = 90.00°
Positions (direct):
Tm (0.6476, 0.1207, 0.0000)
Tm (0.1478, 0.8770, 0.0000)
Tm (0.4820, 0.8773, 0.2474)
Tm (0.9820, 0.1227, 0.2526)
Tm (0.9820, 0.1227, 0.7474)
Tm (0.6478, 0.1230, 0.5000)
Tm (0.1476, 0.8793, 0.5000)
Tm (0.4820, 0.8773, 0.7526)
Ho (0.9823, 0.6279, 0.7490)
Ho (0.6469, 0.6286, 0.0000)
Ho (0.1469, 0.3714, 0.5000)
Ho (0.4823, 0.3721, 0.2490)
Ho (0.9823, 0.6279, 0.2510)
Ho (0.4823, 0.3721, 0.7510)
La (0.1442, 0.3739, 0.0000)
La (0.6442, 0.6261, 0.5000)

Results
relative energy among the computed polymorphs	0	kJ/mol of formula units
calculated volume	506	Å³/cell
density of states at the Fermi level	26.03	states/eV/cell
formation enthalpy at 0 K	0.01	eV per atom

***

# 6
Entry from the Alexandria database: LaHoTm4 after structural relaxation (PBE).

a = 4.4592 Å, b = 4.4592 Å, c = 11.1931 Å
α = 90.00°, β = 90.00°, γ = 90.05°
Positions (direct):
Tm (0.5000, 0.0000, 0.2576)
Tm (0.0000, 0.5000, 0.2576)
Tm (0.0000, 0.5000, 0.7424)
Tm (0.5000, 0.0000, 0.7424)
Ho (0.5000, 0.5000, 0.5000)
La (0.0000, 0.0000, 0.0000)

Results
relative energy among the computed polymorphs	281	kJ/mol of formula units
calculated volume	223	Å³/cell
density of states at the Fermi level	11.27	states/eV/cell
formation enthalpy at 0 K	0.63	eV per atom

***

# 7
Entry from the Alexandria database: La3Ho3Tm8 after structural relaxation (PBE).

a = 5.6250 Å, b = 9.6839 Å, c = 9.6838 Å
α = 102.53°, β = 73.11°, γ = 73.11°
Positions (direct):
Tm (0.8419, 0.5565, 0.7597)
Tm (0.1581, 0.2403, 0.4435)
Tm (0.6622, 0.5564, 0.1192)
Tm (0.8419, 0.7597, 0.5565)
Tm (0.3378, 0.8808, 0.4436)
Tm (0.3378, 0.4436, 0.8808)
Tm (0.1581, 0.4435, 0.2403)
Tm (0.6622, 0.1192, 0.5564)
Ho (0.5000, 0.5000, 0.5000)
Ho (0.7965, 0.2038, 0.2038)
Ho (0.2035, 0.7962, 0.7962)
La (0.0000, 0.8134, 0.1866)
La (0.0000, 0.1866, 0.8134)
La (0.5000, 0.0000, 0.0000)

Results
calculated volume	456	Å³/cell
density of states at the Fermi level	23.52	states/eV/cell
formation enthalpy at 0 K	0.11	eV per atom

***

# 8
Entry from the Alexandria database: La11Ho9Tm4 after structural relaxation (PBE).

a = 3.6857 Å, b = 15.5397 Å, c = 15.5397 Å
α = 113.02°, β = 90.00°, γ = 90.00°
Positions (direct):
Ho (0.5000, 0.9299, 0.7855)
Ho (0.5000, 0.7855, 0.9299)
Ho (0.5000, 0.5000, 0.5000)
Ho (0.5000, 0.3693, 0.8332)
Ho (0.5000, 0.8332, 0.3693)
Ho (0.5000, 0.6307, 0.1668)
Ho (0.5000, 0.0701, 0.2145)
Ho (0.5000, 0.2145, 0.0701)
Ho (0.5000, 0.1668, 0.6307)
Tm (0.5000, 0.2405, 0.4448)
Tm (0.5000, 0.7595, 0.5552)
Tm (0.5000, 0.5552, 0.7595)
Tm (0.5000, 0.4448, 0.2405)
La (0.0000, 0.5959, 0.9575)
La (0.0000, 0.0000, 0.0000)
La (0.0000, 0.9575, 0.5959)
La (0.0000, 0.8403, 0.1597)
La (0.0000, 0.2938, 0.2938)
La (0.0000, 0.6314, 0.3686)
La (0.0000, 0.4041, 0.0425)
La (0.0000, 0.1597, 0.8403)
La (0.0000, 0.3686, 0.6314)
La (0.0000, 0.7062, 0.7062)
La (0.0000, 0.0425, 0.4041)

Results
calculated volume	819	Å³/cell
density of states at the Fermi level	34.02	states/eV/cell
formation enthalpy at 0 K	0.07	eV per atom

***

# 9
Entry from the Alexandria database: La7HoTm3 after structural relaxation (PBE).

a = 5.9918 Å, b = 8.6508 Å, c = 8.6508 Å
α = 84.55°, β = 110.25°, γ = 110.25°
Positions (direct):
Tm (0.0000, 0.7941, 0.2059)
Tm (0.0000, 0.2059, 0.7941)
Tm (0.5000, 0.0000, 0.0000)
La (0.3084, 0.5945, 0.0223)
La (0.2081, 0.2080, 0.2080)
La (0.7919, 0.7920, 0.7920)
La (0.6916, 0.4055, 0.9777)
La (0.6916, 0.9777, 0.4055)
La (0.0000, 0.5000, 0.5000)
La (0.3084, 0.0223, 0.5945)
Ho (0.5000, 0.5000, 0.5000)

Results
relative energy among the computed polymorphs	39	kJ/mol of formula units
calculated volume	395	Å³/cell
density of states at the Fermi level	15.13	states/eV/cell
formation enthalpy at 0 K	0.22	eV per atom

***

# 10
Entry from the Alexandria database: La5Ho5Tm2 after structural relaxation (PBE).

a = 5.1082 Å, b = 10.7899 Å, c = 8.1191 Å
α = 98.77°, β = 71.66°, γ = 76.31°
Positions (direct):
Ho (0.6677, 0.9998, 0.6648)
Ho (0.3323, 0.0002, 0.3352)
Ho (0.0000, 0.5000, 0.5000)
Ho (0.6698, 0.7448, 0.9157)
Ho (0.3302, 0.2552, 0.0843)
La (0.6664, 0.2533, 0.4138)
La (0.9949, 0.2535, 0.7568)
La (0.0051, 0.7465, 0.2432)
La (0.0000, 0.0000, 0.0000)
La (0.3336, 0.7467, 0.5862)
Tm (0.3318, 0.5009, 0.8355)
Tm (0.6682, 0.4991, 0.1645)

Results
calculated volume	400	Å³/cell
density of states at the Fermi level	18.80	states/eV/cell
formation enthalpy at 0 K	0.03	eV per atom

***

# 11
Entry from the Alexandria database: La2Ho5Tm2 after structural relaxation (PBE).

a = 5.6801 Å, b = 6.5172 Å, c = 8.9839 Å
α = 101.56°, β = 90.00°, γ = 115.83°
Positions (direct):
La (0.5447, 0.0893, 0.3165)
La (0.4553, 0.9107, 0.6835)
Ho (0.2319, 0.4637, 0.2994)
Ho (0.0000, 0.0000, 0.0000)
Ho (0.1231, 0.2461, 0.6247)
Ho (0.8769, 0.7539, 0.3753)
Ho (0.7681, 0.5363, 0.7006)
Tm (0.3121, 0.6241, 0.9634)
Tm (0.6879, 0.3759, 0.0366)

Results
relative energy among the computed polymorphs	0	kJ/mol of formula units
calculated volume	292	Å³/cell
density of states at the Fermi level	15.12	states/eV/cell
formation enthalpy at 0 K	0.10	eV per atom

***

# 12
Entry from the Alexandria database: La2HoTm6 after structural relaxation (PBE).

a = 9.0555 Å, b = 8.8750 Å, c = 8.8750 Å
α = 82.48°, β = 64.05°, γ = 64.05°
Positions (direct):
La (0.0635, 0.6000, 0.7832)
La (0.4365, 0.2168, 0.4000)
La (0.9365, 0.4000, 0.2168)
La (0.5635, 0.7832, 0.6000)
Tm (0.8607, 0.0642, 0.3913)
Tm (0.8168, 0.1879, 0.0036)
Tm (0.6832, 0.9964, 0.8121)
Tm (0.1832, 0.8121, 0.9964)
Tm (0.0389, 0.6685, 0.4043)
Tm (0.9611, 0.3315, 0.5957)
Tm (0.4611, 0.5957, 0.3315)
Tm (0.3607, 0.3913, 0.0642)
Tm (0.1393, 0.9358, 0.6087)
Tm (0.3168, 0.0036, 0.1879)
Tm (0.6393, 0.6087, 0.9358)
Tm (0.5389, 0.4043, 0.6685)
Ho (0.7500, 0.8302, 0.1698)
Ho (0.2500, 0.1698, 0.8302)

Results
relative energy among the computed polymorphs	0	kJ/mol of formula units
calculated volume	575	Å³/cell
density of states at the Fermi level	24.32	states/eV/cell
formation enthalpy at 0 K	0.08	eV per atom

***

- calculated volume of number 12 (La2HoTm6)?
  575 Å³/cell